Version w
Entry from Alexandria via LeMat-Bulk: an optimized crystal structure of Pr5Sn2Ir (PBE).

Values from the calculation:
Its total magnetization is 0.00 μB/atom. The density of states at the Fermi level comes out at 12.875 states/eV/cell.

Lattice parameters (Å, degrees): 6.0172 5.9582 16.2858 90.00 90.00 120.33
Atoms (fractional coordinates):
Ir: 0.2498 0.4996 0.2500
Ir: 0.7502 0.5004 0.7500
Pr: 0.9207 0.8415 0.6143
Pr: 0.7499 0.4997 0.2500
Pr: 0.4206 0.8411 0.1144
Pr: 0.0793 0.1585 0.1143
Pr: 0.9207 0.8415 0.8857
Pr: 0.4206 0.8411 0.3856
Pr: 0.5794 0.1589 0.6144
Pr: 0.2501 0.5003 0.7500
Pr: 0.0793 0.1585 0.3857
Pr: 0.5794 0.1589 0.8856
Sn: 0.7499 0.4999 0.0533
Sn: 0.2501 0.5001 0.9467
Sn: 0.7499 0.4999 0.4467
Sn: 0.2501 0.5001 0.5533

***

Version x
Entry from Alexandria via LeMat-Bulk: an optimized crystal structure of Pr5Sn2Ir (PBE).

Values from the calculation:
Its total magnetization is 0.00 μB/atom. The density of states at the Fermi level comes out at 18.720 states/eV/cell.

Lattice parameters (Å, degrees): 4.7325 8.2476 12.7163 90.00 90.00 90.00
Atoms (fractional coordinates):
Pr: 0.5000 0.6868 0.4340
Pr: 0.5000 0.1868 0.0660
Pr: 0.5000 0.3132 0.5660
Pr: 0.0000 0.3621 0.2961
Pr: 0.0000 0.1379 0.7961
Pr: 0.0000 0.8621 0.2039
Pr: 0.0000 0.6379 0.7039
Pr: 0.0000 0.0000 0.5000
Pr: 0.5000 0.8132 0.9340
Pr: 0.0000 0.5000 0.0000
Sn: 0.5000 0.5769 0.1710
Sn: 0.5000 0.0769 0.3290
Sn: 0.5000 0.4231 0.8290
Sn: 0.5000 0.9231 0.6710
Ir: 0.0000 0.0000 0.0000
Ir: 0.0000 0.5000 0.5000

***

Taking the most stable structure as the zero point, the relative energies in kJ/mol of atoms are version w 24.2; version x 0.0.

***

Version w
Entry from Alexandria via LeMat-Bulk: an optimized crystal structure of SrPrIr (PBE).

Values from the calculation:
Its total magnetization is 0.00 μB/atom. The density of states at the Fermi level comes out at 1.529 states/eV/cell.

Lattice parameters (Å, degrees): 5.0467 5.0467 5.0467 60.00 60.00 60.00
Atoms (fractional coordinates):
Sr: 0.0000 0.0000 0.0000
Ir: 0.2500 0.2500 0.2500
Pr: 0.5000 0.5000 0.5000

***

Version x
Entry from Alexandria via LeMat-Bulk: an optimized crystal structure of SrPrIr (PBE).

Values from the calculation:
Its total magnetization is 0.00 μB/atom. The density of states at the Fermi level comes out at 0.986 states/eV/cell.

Lattice parameters (Å, degrees): 6.7920 4.2567 4.2567 120.00 90.00 90.00
Atoms (fractional coordinates):
Ir: 0.0187 0.0000 0.0000
Sr: 0.7586 0.6667 0.3333
Pr: 0.2226 0.3333 0.6667

***

Taking the most stable structure as the zero point, the relative energies in kJ/mol of atoms are version w 0.0; version x 0.6.

***

Version w
Entry from Alexandria via LeMat-Bulk: an optimized crystal structure of SrPrIr (PBE).

Values from the calculation:
Its total magnetization is 0.00 μB/atom. The density of states at the Fermi level comes out at 1.678 states/eV/cell.

Lattice parameters (Å, degrees): 3.6391 3.6391 7.4657 104.11 104.11 90.00
Atoms (fractional coordinates):
Pr: 0.2839 0.2839 0.5678
Sr: 0.0373 0.0373 0.0746
Ir: 0.6788 0.6788 0.3577

***

Version x
Entry from Alexandria via LeMat-Bulk: an optimized crystal structure of SrPrIr (PBE).

Values from the calculation:
Its total magnetization is 0.00 μB/atom. The density of states at the Fermi level comes out at 4.535 states/eV/cell.

Lattice parameters (Å, degrees): 4.3438 3.9967 11.5141 99.99 90.00 90.00
Atoms (fractional coordinates):
Ir: 0.7500 0.5440 0.0879
Ir: 0.2500 0.4560 0.9121
Sr: 0.2500 0.3187 0.6375
Sr: 0.7500 0.6813 0.3625
Pr: 0.2500 0.0637 0.1274
Pr: 0.7500 0.9363 0.8726

***

Version y
Entry from Alexandria via LeMat-Bulk: an optimized crystal structure of SrPrIr (PBE).

Values from the calculation:
Its total magnetization is 0.00 μB/atom. The density of states at the Fermi level comes out at 11.787 states/eV/cell.

Lattice parameters (Å, degrees): 4.1036 9.4507 11.6744 79.60 100.12 90.00
Atoms (fractional coordinates):
Ir: 0.7725 0.8703 0.5450
Ir: 0.7152 0.3102 0.4305
Ir: 0.2848 0.6898 0.5695
Ir: 0.2275 0.1297 0.4550
Sr: 0.5240 0.7812 0.0480
Sr: 0.4760 0.2188 0.9520
Sr: 0.1118 0.3899 0.2237
Sr: 0.8882 0.6101 0.7763
Pr: 0.3422 0.9734 0.6844
Pr: 0.2986 0.3758 0.5972
Pr: 0.7014 0.6242 0.4028
Pr: 0.6578 0.0266 0.3156

***

Version z
Entry from Alexandria via LeMat-Bulk: an optimized crystal structure of SrPrIr (PBE).

Values from the calculation:
Its total magnetization is 0.00 μB/atom. The density of states at the Fermi level comes out at 2.920 states/eV/cell.

Lattice parameters (Å, degrees): 3.5911 7.4821 7.4524 104.26 103.82 90.03
Atoms (fractional coordinates):
Ir: 0.9393 0.2687 0.6453
Ir: 0.9385 0.8353 0.6435
Pr: 0.3173 0.9929 0.4006
Pr: 0.5605 0.1111 0.8882
Sr: 0.3187 0.4914 0.4019
Sr: 0.5591 0.6125 0.8869

***

Taking the most stable structure as the zero point, the relative energies in kJ/mol of atoms are version w 6.0; version x 0.0; version y 19.0; version z 6.6.

***

Version w
Entry from Alexandria via LeMat-Bulk: an optimized crystal structure of Tb2PrIr (PBE).

Values from the calculation:
Its total magnetization is 0.00 μB/atom. The density of states at the Fermi level comes out at 10.121 states/eV/cell.

Lattice parameters (Å, degrees): 3.8946 6.4702 9.3478 90.00 90.00 107.49
Atoms (fractional coordinates):
Tb: 0.8567 0.7139 0.9326
Tb: 0.1433 0.2861 0.0674
Tb: 0.1433 0.2861 0.4326
Tb: 0.8567 0.7139 0.5674
Pr: 0.5722 0.1442 0.7500
Pr: 0.4278 0.8558 0.2500
Ir: 0.7434 0.4870 0.2500
Ir: 0.2566 0.5130 0.7500

***

Version x
Entry from Alexandria via LeMat-Bulk: an optimized crystal structure of Tb2PrIr (PBE).

Values from the calculation:
Its total magnetization is 0.00 μB/atom. The density of states at the Fermi level comes out at 4.464 states/eV/cell.

Lattice parameters (Å, degrees): 3.8373 3.8373 10.8186 79.78 79.78 60.00
Atoms (fractional coordinates):
Pr: 0.0000 0.0000 0.0000
Tb: 0.8842 0.8842 0.3475
Tb: 0.1158 0.1158 0.6525
Ir: 0.5000 0.5000 0.5000

***

Version y
Entry from Alexandria via LeMat-Bulk: an optimized crystal structure of Tb2PrIr (PBE).

Values from the calculation:
Its total magnetization is 0.00 μB/atom. The density of states at the Fermi level comes out at 3.970 states/eV/cell.

Lattice parameters (Å, degrees): 4.0282 4.0282 9.2503 77.42 77.42 60.00
Atoms (fractional coordinates):
Tb: 0.0548 0.0548 0.8356
Tb: 0.2773 0.2773 0.1681
Ir: 0.6661 0.6661 0.0018
Pr: 0.5018 0.5018 0.4945

***

Taking the most stable structure as the zero point, the relative energies in kJ/mol of atoms are version w 0.0; version x 28.9; version y 11.4.

***

Version w
Entry from Alexandria via LeMat-Bulk: an optimized crystal structure of Tb2PrIr (PBE).

Values from the calculation:
Its total magnetization is 0.00 μB/atom. The density of states at the Fermi level comes out at 18.330 states/eV/cell.

Lattice parameters (Å, degrees): 6.5123 7.3189 9.4991 90.00 90.00 90.00
Atoms (fractional coordinates):
Tb: 0.1695 0.6750 0.4348
Tb: 0.8305 0.3250 0.9348
Tb: 0.6695 0.8250 0.9348
Tb: 0.6695 0.8250 0.5652
Tb: 0.3305 0.1750 0.0652
Tb: 0.3305 0.1750 0.4348
Tb: 0.8305 0.3250 0.5652
Tb: 0.1695 0.6750 0.0652
Pr: 0.3652 0.4655 0.7500
Pr: 0.6348 0.5345 0.2500
Pr: 0.8652 0.0345 0.2500
Pr: 0.1348 0.9655 0.7500
Ir: 0.9315 0.6173 0.7500
Ir: 0.0685 0.3827 0.2500
Ir: 0.5685 0.1173 0.7500
Ir: 0.4315 0.8827 0.2500

***

Version x
Entry from Alexandria via LeMat-Bulk: an optimized crystal structure of Tb2PrIr (PBE).

Values from the calculation:
Its total magnetization is 0.00 μB/atom. The density of states at the Fermi level comes out at 4.812 states/eV/cell.

Lattice parameters (Å, degrees): 3.5180 3.5180 8.9855 90.00 90.00 90.00
Atoms (fractional coordinates):
Tb: 0.0000 0.0000 0.1808
Tb: 0.0000 0.0000 0.8192
Ir: 0.5000 0.5000 0.0000
Pr: 0.5000 0.5000 0.5000

***

Taking the most stable structure as the zero point, the relative energies in kJ/mol of atoms are version w 0.0; version x 11.1.

***

Version w
Entry from Alexandria via LeMat-Bulk: an optimized crystal structure of Pr4Te3Ir (PBE).

Values from the calculation:
Its total magnetization is 0.00 μB/atom. The density of states at the Fermi level comes out at 7.192 states/eV/cell.

Lattice parameters (Å, degrees): 4.3663 7.8585 7.8585 108.30 90.00 90.00
Atoms (fractional coordinates):
Te: 0.0000 0.5000 0.0000
Te: 0.0000 0.0000 0.5000
Te: 0.5000 0.5000 0.5000
Pr: 0.5000 0.2323 0.7677
Pr: 0.0000 0.7870 0.7870
Pr: 0.5000 0.7677 0.2323
Pr: 0.0000 0.2130 0.2130
Ir: 0.5000 0.0000 0.0000

***

Version x
Entry from Alexandria via LeMat-Bulk: an optimized crystal structure of Pr4Te3Ir (PBE).

Values from the calculation:
Its total magnetization is 0.07 μB/atom. The density of states at the Fermi level comes out at 20.086 states/eV/cell.

Lattice parameters (Å, degrees): 6.3576 9.4749 10.2956 90.00 90.00 90.00
Site moments in Bohr magnetons follow the coordinates.
Atoms (fractional coordinates):
Te: 0.5644 0.8251 0.0000  0.00
Te: 0.0644 0.1749 0.5000  0.00
Te: 0.0644 0.6540 0.2424  0.00
Te: 0.5644 0.3460 0.7424  0.00
Te: 0.5644 0.3460 0.2576  0.00
Te: 0.0644 0.6540 0.7576  0.00
Pr: 0.5644 0.6870 0.7192  0.05
Pr: 0.0644 0.3130 0.7808  0.05
Pr: 0.5645 0.1577 0.0000  0.05
Pr: 0.0644 0.3130 0.2192  0.05
Pr: 0.5644 0.6870 0.2808  0.05
Pr: 0.0645 0.8423 0.5000  0.05
Pr: 0.5644 0.1312 0.5000  0.05
Pr: 0.0644 0.8688 0.0000  0.05
Ir: 0.5643 0.8457 0.5000  0.04
Ir: 0.0643 0.1543 0.0000  0.04

***

Taking the most stable structure as the zero point, the relative energies in kJ/mol of atoms are version w 0.0; version x 23.4.

***

Version w
Entry from Alexandria via LeMat-Bulk: an optimized crystal structure of Pr3TeIr (PBE).

Values from the calculation:
Its total magnetization is 0.00 μB/atom. The density of states at the Fermi level comes out at 9.831 states/eV/cell.

Lattice parameters (Å, degrees): 4.2747 8.4492 8.8684 105.28 90.00 90.00
Atoms (fractional coordinates):
Pr: 0.2500 0.3149 0.5919
Pr: 0.7500 0.3068 0.9391
Pr: 0.7500 0.0707 0.2650
Pr: 0.7500 0.6851 0.4081
Pr: 0.2500 0.6932 0.0609
Pr: 0.2500 0.9293 0.7350
Ir: 0.7500 0.0888 0.6137
Ir: 0.2500 0.9112 0.3863
Te: 0.2500 0.3835 0.2340
Te: 0.7500 0.6165 0.7660

***

Version x
Entry from Alexandria via LeMat-Bulk: an optimized crystal structure of Pr3TeIr (PBE).

Values from the calculation:
Its total magnetization is 0.00 μB/atom. The density of states at the Fermi level comes out at 14.948 states/eV/cell.

Lattice parameters (Å, degrees): 4.4914 7.9320 17.0862 90.00 90.00 90.00
Atoms (fractional coordinates):
Te: 0.7500 0.8796 0.7980
Te: 0.2500 0.1204 0.2020
Te: 0.7500 0.3796 0.7020
Te: 0.2500 0.6204 0.2980
Pr: 0.7500 0.1361 0.0530
Pr: 0.7500 0.3227 0.2947
Pr: 0.7500 0.9888 0.5912
Pr: 0.7500 0.4888 0.9088
Pr: 0.2500 0.5112 0.0912
Pr: 0.2500 0.3639 0.5530
Pr: 0.2500 0.8639 0.9470
Pr: 0.7500 0.8227 0.2053
Pr: 0.2500 0.1773 0.7947
Pr: 0.2500 0.6773 0.7053
Pr: 0.7500 0.6361 0.4470
Pr: 0.2500 0.0112 0.4088
Ir: 0.7500 0.2392 0.4591
Ir: 0.2500 0.7608 0.5409
Ir: 0.7500 0.7392 0.0409
Ir: 0.2500 0.2608 0.9591

***

Taking the most stable structure as the zero point, the relative energies in kJ/mol of atoms are version w 4.3; version x 0.0.

***

Version w
Entry from Alexandria via LeMat-Bulk: an optimized crystal structure of Pr2TeIr (PBE).

Values from the calculation:
Its total magnetization is 0.00 μB/atom. The density of states at the Fermi level comes out at 2.541 states/eV/cell.

Lattice parameters (Å, degrees): 4.2755 4.2755 7.9357 90.06 105.58 119.96
Atoms (fractional coordinates):
Pr: 0.4739 0.7368 0.2107
Pr: 0.5261 0.2632 0.7893
Ir: 0.0000 0.0000 0.0000
Te: 0.0000 0.5000 0.5000

***

Version x
Entry from Alexandria via LeMat-Bulk: an optimized crystal structure of Pr2TeIr (PBE).

Values from the calculation:
Its total magnetization is 0.00 μB/atom. The density of states at the Fermi level comes out at 3.180 states/eV/cell.

Lattice parameters (Å, degrees): 4.2714 4.2714 8.0119 74.54 74.54 60.00
Atoms (fractional coordinates):
Te: 0.5003 0.5003 0.4990
Ir: 0.6661 0.6661 0.0016
Pr: 0.0697 0.0697 0.7909
Pr: 0.2638 0.2638 0.2085

***

Version y
Entry from Alexandria via LeMat-Bulk: an optimized crystal structure of Pr2TeIr (PBE).

Values from the calculation:
Its total magnetization is 0.00 μB/atom. The density of states at the Fermi level comes out at 2.093 states/eV/cell.

Lattice parameters (Å, degrees): 3.7229 3.7229 7.6641 90.00 90.00 90.00
Atoms (fractional coordinates):
Pr: 0.0000 0.0000 0.2232
Pr: 0.0000 0.0000 0.7768
Te: 0.5000 0.5000 0.5000
Ir: 0.5000 0.5000 0.0000

***

Taking the most stable structure as the zero point, the relative energies in kJ/mol of atoms are version w 0.0; version x 2.2; version y 13.3.

***

Version w
Entry from Alexandria via LeMat-Bulk: an optimized crystal structure of Pr3Te2Ir (PBE).

Values from the calculation:
Its total magnetization is 0.00 μB/atom. The density of states at the Fermi level comes out at 11.939 states/eV/cell.

Lattice parameters (Å, degrees): 7.4744 7.7512 7.7512 117.89 99.80 99.80
Atoms (fractional coordinates):
Pr: 0.0041 0.2251 0.3646
Pr: 0.9959 0.7749 0.6354
Pr: 0.4959 0.6354 0.7749
Pr: 0.5000 0.0000 0.5000
Pr: 0.0000 0.5000 0.0000
Pr: 0.5041 0.3646 0.2251
Te: 0.7500 0.0805 0.9195
Te: 0.2500 0.9195 0.0805
Te: 0.2500 0.2377 0.7623
Te: 0.7500 0.7623 0.2377
Ir: 0.7500 0.4092 0.5908
Ir: 0.2500 0.5908 0.4092

***

Version x
Entry from Alexandria via LeMat-Bulk: an optimized crystal structure of Pr3Te2Ir (PBE).

Values from the calculation:
Its total magnetization is 0.00 μB/atom. The density of states at the Fermi level comes out at 16.184 states/eV/cell.

Lattice parameters (Å, degrees): 7.7856 7.7856 13.8668 100.91 100.91 109.02
Atoms (fractional coordinates):
Ir: 0.9164 0.9164 0.8329
Ir: 0.3336 0.8336 0.6671
Ir: 0.0836 0.0836 0.1671
Ir: 0.1664 0.6664 0.3329
Te: 0.2545 0.2545 0.5089
Te: 0.5784 0.5784 0.1569
Te: 0.4216 0.4216 0.8431
Te: 0.5045 0.0045 0.0089
Te: 0.9955 0.4955 0.9911
Te: 0.7455 0.7455 0.4911
Te: 0.8284 0.3284 0.6569
Te: 0.6716 0.1716 0.3431
Pr: 0.4630 0.9630 0.5000
Pr: 0.6542 0.1267 0.8184
Pr: 0.8733 0.3458 0.1816
Pr: 0.9418 0.9142 0.3184
Pr: 0.2130 0.2130 0.0000
Pr: 0.5958 0.6233 0.6816
Pr: 0.3082 0.8358 0.1816
Pr: 0.1642 0.6918 0.8184
Pr: 0.0858 0.0582 0.6816
Pr: 0.3767 0.4042 0.3184
Pr: 0.0370 0.5370 0.5000
Pr: 0.7870 0.7870 0.0000

***

Taking the most stable structure as the zero point, the relative energies in kJ/mol of atoms are version w 4.0; version x 0.0.

***

Version w
Entry from Alexandria via LeMat-Bulk: an optimized crystal structure of Pr2TlIr (PBE).

Values from the calculation:
Its total magnetization is 0.00 μB/atom. The density of states at the Fermi level comes out at 3.894 states/eV/cell.

Lattice parameters (Å, degrees): 5.3008 5.3008 5.3008 60.00 60.00 60.00
Atoms (fractional coordinates):
Tl: 0.0000 0.0000 0.0000
Pr: 0.2500 0.2500 0.2500
Pr: 0.7500 0.7500 0.7500
Ir: 0.5000 0.5000 0.5000

***

Version x
Entry from Alexandria via LeMat-Bulk: an optimized crystal structure of Pr2TlIr (PBE).

Values from the calculation:
Its total magnetization is 0.00 μB/atom. The density of states at the Fermi level comes out at 2.945 states/eV/cell.

Lattice parameters (Å, degrees): 3.5845 3.5845 8.4280 90.00 90.00 90.00
Atoms (fractional coordinates):
Tl: 0.5000 0.5000 0.5000
Pr: 0.0000 0.0000 0.2050
Pr: 0.0000 0.0000 0.7950
Ir: 0.5000 0.5000 0.0000

***

Taking the most stable structure as the zero point, the relative energies in kJ/mol of atoms are version w 12.9; version x 0.0.